A relaxed Pr2ErTm9 crystal. Source: Alexandria, functional PBE.

a = 4.990 Å, b = 4.990 Å, c = 14.960 Å
α = 90.00°, β = 90.00°, γ = 90.00°
Fractional positions:
Pr1 0.000 0.000 0.333
Pr2 0.000 0.000 0.667
Er1 0.000 0.000 0.000
Tm1 0.500 0.500 0.000
Tm2 0.500 0.500 0.331
Tm3 0.500 0.500 0.669
Tm4 0.500 0.000 0.164
Tm5 0.500 0.000 0.500
Tm6 0.500 0.000 0.836
Tm7 0.000 0.500 0.164
Tm8 0.000 0.500 0.500
Tm9 0.000 0.500 0.836

Values from the calculation:
M_tot: 0.00 Bohr magnetons per cell
E above lowest polymorph: 0 meV/atom
ΔE_f: 35 kJ/mol of formula units
V: 372.5 Å³ per cell

A relaxed Pr6ErTm3 crystal. Source: Alexandria, functional PBE.

a = 6.454 Å, b = 11.803 Å, c = 11.803 Å
α = 130.71°, β = 90.00°, γ = 90.00°
Fractional positions:
Pr1 0.072 0.740 0.620
Pr2 0.572 0.620 0.740
Pr3 0.320 0.455 0.894
Pr4 0.820 0.894 0.455
Pr5 0.308 0.984 0.016
Pr6 0.800 0.300 0.700
Pr7 0.300 0.700 0.300
Pr8 0.808 0.016 0.984
Pr9 0.320 0.106 0.545
Pr10 0.820 0.545 0.106
Pr11 0.072 0.380 0.260
Pr12 0.572 0.260 0.380
Er1 0.018 0.156 0.844
Er2 0.518 0.844 0.156
Tm1 0.493 0.958 0.708
Tm2 0.993 0.708 0.958
Tm3 0.091 0.420 0.580
Tm4 0.591 0.580 0.420
Tm5 0.993 0.042 0.292
Tm6 0.493 0.292 0.042

Values from the calculation:
M_tot: 0.00 Bohr magnetons per cell
ΔE_f: 123 kJ/mol of formula units
V: 681.5 Å³ per cell

A relaxed PrEr8Tm6 crystal. Source: Alexandria, functional PBE.

a = 8.926 Å, b = 8.926 Å, c = 8.526 Å
α = 58.44°, β = 58.44°, γ = 60.00°
Fractional positions:
Pr1 0.000 0.000 0.000
Er1 0.257 0.280 0.573
Er2 0.720 0.110 0.427
Er3 0.110 0.743 0.427
Er4 0.576 0.576 0.271
Er5 0.424 0.424 0.729
Er6 0.890 0.257 0.573
Er7 0.280 0.890 0.573
Er8 0.743 0.720 0.427
Tm1 0.463 0.891 0.878
Tm2 0.109 0.232 0.122
Tm3 0.232 0.537 0.122
Tm4 0.768 0.463 0.878
Tm5 0.891 0.768 0.878
Tm6 0.537 0.109 0.122

Values from the calculation:
M_tot: 0.00 Bohr magnetons per cell
E above lowest polymorph: 0 meV/atom
ΔE_f: 205 kJ/mol of formula units
V: 468.7 Å³ per cell

A relaxed PrEr2Tm7 crystal. Source: Alexandria, functional PBE.

a = 5.366 Å, b = 8.795 Å, c = 9.345 Å
α = 118.05°, β = 73.31°, γ = 127.66°
Fractional positions:
Pr1 0.000 0.000 0.000
Er1 0.500 0.700 0.399
Er2 0.500 0.300 0.601
Tm1 0.999 0.799 0.598
Tm2 0.001 0.201 0.402
Tm3 0.248 0.637 0.779
Tm4 0.752 0.363 0.221
Tm5 0.247 0.858 0.221
Tm6 0.753 0.142 0.779
Tm7 0.500 0.500 0.000

Values from the calculation:
M_tot: 0.00 Bohr magnetons per cell
E above lowest polymorph: 0 meV/atom
ΔE_f: 46 kJ/mol of formula units
V: 308.2 Å³ per cell

A relaxed Pr3ErTm6 crystal. Source: Alexandria, functional PBE.

a = 3.510 Å, b = 12.999 Å, c = 14.265 Å
α = 100.11°, β = 90.00°, γ = 90.00°
Fractional positions:
Pr1 0.750 0.420 0.901
Pr2 0.250 0.580 0.099
Pr3 0.750 0.629 0.505
Pr4 0.250 0.371 0.495
Pr5 0.750 0.074 0.103
Pr6 0.250 0.926 0.897
Er1 0.750 0.041 0.719
Er2 0.250 0.959 0.281
Tm1 0.750 0.500 0.691
Tm2 0.250 0.500 0.309
Tm3 0.750 0.808 0.076
Tm4 0.250 0.192 0.924
Tm5 0.750 0.345 0.123
Tm6 0.250 0.655 0.877
Tm7 0.750 0.733 0.300
Tm8 0.250 0.267 0.700
Tm9 0.750 0.117 0.484
Tm10 0.250 0.883 0.516
Tm11 0.750 0.780 0.713
Tm12 0.250 0.220 0.287

Values from the calculation:
M_tot: 0.00 Bohr magnetons per cell
E above lowest polymorph: 0 meV/atom
ΔE_f: 70 kJ/mol of formula units
V: 640.8 Å³ per cell

A relaxed Pr5Er3Tm crystal. Source: Alexandria, functional PBE.

a = 6.500 Å, b = 11.637 Å, c = 11.625 Å
α = 128.92°, β = 90.00°, γ = 106.22°
Fractional positions:
Pr1 0.396 0.000 0.750
Pr2 0.653 0.650 0.005
Pr3 0.847 0.322 0.112
Pr4 0.347 0.350 0.995
Pr5 0.525 0.678 0.388
Pr6 0.604 0.000 0.250
Pr7 0.997 0.650 0.505
Pr8 0.003 0.350 0.495
Pr9 0.475 0.322 0.612
Pr10 0.153 0.678 0.888
Er1 0.000 0.000 0.000
Er2 0.447 0.321 0.308
Er3 0.000 0.000 0.500
Er4 0.553 0.679 0.692
Er5 0.874 0.321 0.808
Er6 0.126 0.679 0.192
Tm1 0.877 0.000 0.750
Tm2 0.123 0.000 0.250

Values from the calculation:
M_tot: 0.00 Bohr magnetons per cell
E above lowest polymorph: 0 meV/atom
ΔE_f: 231 kJ/mol of formula units
V: 638.5 Å³ per cell

A relaxed Pr4Er10Tm crystal. Source: Alexandria, functional PBE.

a = 7.952 Å, b = 8.889 Å, c = 8.889 Å
α = 78.46°, β = 63.43°, γ = 63.43°
Fractional positions:
Pr1 0.227 0.000 0.546
Pr2 0.773 0.454 0.000
Pr3 0.227 0.546 0.000
Pr4 0.773 0.000 0.454
Er1 0.250 0.500 0.500
Er2 0.706 0.208 0.792
Er3 0.086 0.208 0.208
Er4 0.502 0.792 0.792
Er5 0.706 0.792 0.208
Er6 0.294 0.792 0.208
Er7 0.750 0.500 0.500
Er8 0.294 0.208 0.792
Er9 0.498 0.208 0.208
Er10 0.914 0.792 0.792
Tm1 0.000 0.000 0.000

Values from the calculation:
M_tot: 0.00 Bohr magnetons per cell
ΔE_f: 396 kJ/mol of formula units
V: 502.6 Å³ per cell

A relaxed Pr8Er3Tm2 crystal. Source: Alexandria, functional PBE.

a = 5.762 Å, b = 7.777 Å, c = 10.896 Å
α = 110.91°, β = 90.03°, γ = 90.00°
Fractional positions:
Pr1 0.001 0.675 0.350
Pr2 0.999 0.325 0.650
Pr3 0.999 0.130 0.260
Pr4 0.001 0.870 0.740
Pr5 0.500 0.598 0.788
Pr6 0.500 0.190 0.788
Pr7 0.500 0.810 0.212
Pr8 0.500 0.402 0.212
Er1 0.500 0.000 0.000
Er2 0.000 0.286 0.000
Er3 0.000 0.714 0.000
Tm1 0.499 0.239 0.478
Tm2 0.501 0.761 0.522

Values from the calculation:
M_tot: 0.01 Bohr magnetons per cell
ΔE_f: 247 kJ/mol of formula units
V: 456.1 Å³ per cell

Q: The lowest ΔE_f belongs to which entry?
A: Pr2ErTm9